# SiW | the Alexandria database | PBE-GGA | relaxed
data_SiW
_chemical_formula_sum 'Si3 W3'
_cell_length_a 2.8353
_cell_length_b 2.8353
_cell_length_c 12.6541
_cell_angle_alpha 90.00
_cell_angle_beta 90.00
_cell_angle_gamma 120.00
_symmetry_space_group_name_H-M 'R -3 m'
_symmetry_Int_Tables_number 166
_symmetry_space_group_name_Hall '-R 3 2"'
loop_
_atom_site_label
_atom_site_type_symbol
_atom_site_fract_x
_atom_site_fract_y
_atom_site_fract_z
Si1 Si 0.0000 0.0000 0.0000
W1 W 0.0000 0.0000 0.5000
# Total magnetic moment (μB per formula unit): 0.00
# Crystal system: trigonal
# Calculated density (g/cm³): 11.984
# Formation energy without anion corrections (eV/atom): 0.1597
# E (eV/atom): -9.028